1.
# W5Br3 | Alexandria via LeMat-Bulk | PBE-GGA | optimized geometry
data_W5Br3
_space_group_name_H-M_alt 'P 63/m c m'
_space_group_IT_number 193
_space_group_name_Hall '-P 6c 2'
_cell_length_a 8.3765
_cell_length_b 8.3765
_cell_length_c 5.2009
_cell_angle_alpha 90.00
_cell_angle_beta 90.00
_cell_angle_gamma 120.00
loop_
_atom_site_label
_atom_site_fract_x
_atom_site_fract_y
_atom_site_fract_z
W1 0.0000 0.1694 0.2500
W2 0.3333 0.6667 0.0000
Br1 0.0000 0.3982 0.7500
# - E_form (uncorrected) (eV per atom) = 1.64

***

2.
# NiGeTeN2 | Alexandria via LeMat-Bulk | PBE-GGA | optimized geometry
data_NiGeTeN2
_space_group_name_H-M_alt 'P 4/m m m'
_space_group_IT_number 123
_space_group_name_Hall '-P 4 2'
_cell_length_a 3.8912
_cell_length_b 3.8912
_cell_length_c 5.3124
_cell_angle_alpha 90.00
_cell_angle_beta 90.00
_cell_angle_gamma 90.00
loop_
_atom_site_label
_atom_site_fract_x
_atom_site_fract_y
_atom_site_fract_z
Ni1 0.0000 0.0000 0.0000
Ge1 0.5000 0.5000 0.5000
Te1 0.0000 0.0000 0.5000
N1 0.0000 0.5000 0.0000
# - E_form (uncorrected) (eV per atom) = 1.28

***

3.
# LaYTmZn | Alexandria via LeMat-Bulk | PBE-GGA | optimized geometry
data_LaYTmZn
_space_group_name_H-M_alt 'F -4 3 m'
_space_group_IT_number 216
_space_group_name_Hall 'F -4 2 3'
_cell_length_a 7.6702
_cell_length_b 7.6702
_cell_length_c 7.6702
_cell_angle_alpha 90.00
_cell_angle_beta 90.00
_cell_angle_gamma 90.00
loop_
_atom_site_label
_atom_site_fract_x
_atom_site_fract_y
_atom_site_fract_z
La1 0.0000 0.0000 0.0000
Y1 0.0000 0.0000 0.5000
Tm1 0.2500 0.2500 0.2500
Zn1 0.2500 0.2500 0.7500
# - formation energy from the elements (meV/atom) = 15

***

4.
# KPaRhO4 | Alexandria via LeMat-Bulk | PBE-GGA | optimized geometry
data_KPaRhO4
_space_group_name_H-M_alt 'I m m a'
_space_group_IT_number 74
_space_group_name_Hall '-I 2b 2'
_cell_length_a 5.6174
_cell_length_b 6.8734
_cell_length_c 12.2410
_cell_angle_alpha 90.00
_cell_angle_beta 90.00
_cell_angle_gamma 90.00
loop_
_atom_site_label
_atom_site_fract_x
_atom_site_fract_y
_atom_site_fract_z
K1 0.0000 0.2500 0.1880
Pa1 0.0000 0.0000 0.5000
Rh1 0.2500 0.2500 0.7500
O1 0.0000 0.0615 0.6843
O2 0.2262 0.2500 0.4755
# - E_form (uncorrected) (eV per atom) = -2.18